AcLaPmPr3 after structural relaxation. Source: the Alexandria database, functional PBE.

Cell: 5.9765 10.9361 7.2124 Å, 91.05 90.00 105.86°
With the nearest neighbours (Å) after each atom.
Fractional coordinates of all 12 atoms:
Ac 0.3514 0.7029 0.9565  1 La 3.29, 4 Pr 3.42-3.66
Ac 0.6486 0.2971 0.0435  1 La 3.29, 4 Pr 3.42-3.66
La 0.6406 0.2812 0.4985  4 Pr 3.18-3.55, 1 Ac 3.29
La 0.3594 0.7188 0.5015  4 Pr 3.18-3.55, 1 Ac 3.29
Pm 0.0539 0.1078 0.2724  3 Pr 3.35-3.48
Pm 0.9461 0.8922 0.7276  3 Pr 3.35-3.48
Pr 0.8408 0.6816 0.2406  2 La 3.55, 2 Ac 3.63, 4 Pr 3.71-3.95
Pr 0.7809 0.5618 0.7209  1 La 3.33, 1 Pm 3.48, 3 Ac 3.66-3.73, 1 Pr 3.71
Pr 0.4817 0.9634 0.2482  1 La 3.18, 2 Pm 3.35, 1 Ac 3.42
Pr 0.2191 0.4382 0.2791  1 La 3.33, 1 Pm 3.48, 3 Ac 3.66-3.73, 1 Pr 3.71
Pr 0.5183 0.0366 0.7518  1 La 3.18, 2 Pm 3.35, 1 Ac 3.42
Pr 0.1592 0.3184 0.7594  2 La 3.55, 2 Ac 3.63, 4 Pr 3.71-3.95

Computed properties:
density of states at the Fermi level	17.24	states/eV/cell
energy relative to the elements	1.1	eV per formula unit

---

Pm2Be3Ge4Pd after structural relaxation. Source: the Alexandria database, functional PBE.

Cell: 4.1030 4.1030 10.0370 Å, 90.00 90.00 90.00°
With the nearest neighbours (Å) after each atom.
Fractional coordinates of all 10 atoms:
Pm 0.5000 0.0000 0.2493  8 Ge 3.10-3.24, 6 Be 3.14-3.25, 2 Pd 3.25
Pm 0.0000 0.5000 0.7507  8 Ge 3.10-3.24, 6 Be 3.14-3.25, 2 Pd 3.25
Be 0.0000 0.0000 0.5000  4 Ge 2.50
Be 0.5000 0.0000 0.8695  5 Ge 2.28-2.43
Be 0.0000 0.5000 0.1305  5 Ge 2.28-2.43
Ge 0.5000 0.5000 0.0000  4 Be 2.43
Ge 0.0000 0.0000 0.0000  4 Be 2.43
Ge 0.5000 0.0000 0.6426  3 Be 2.28-2.50, 2 Pd 2.50
Ge 0.0000 0.5000 0.3574  3 Be 2.28-2.50, 2 Pd 2.50
Pd 0.5000 0.5000 0.5000  4 Ge 2.50

Computed properties:
density of states at the Fermi level	1.68	states/eV/cell
energy relative to the elements	-4.9	eV per formula unit

---

LaDyNiIr after structural relaxation. Source: the Alexandria database, functional PBE.

Cell: 4.9426 4.9426 4.9426 Å, 60.00 60.00 60.00°
With the nearest neighbours (Å) after each atom.
Fractional coordinates of all 4 atoms:
Ni 0.2500 0.2500 0.2500  4 Dy 3.03, 4 La 3.03
Ir 0.7500 0.7500 0.7500  4 Dy 3.03, 4 La 3.03
La 0.5000 0.5000 0.5000  4 Ni 3.03, 4 Ir 3.03
Dy 0.0000 0.0000 0.0000  4 Ni 3.03, 4 Ir 3.03

Computed properties:
distance to the lowest polymorph of the same formula	0.072	eV/atom
density of states at the Fermi level	3.29	states/eV/cell
energy relative to the elements	-2.1	eV per formula unit

---

NbAlCd2Co after structural relaxation. Source: the Alexandria database, functional PBE.

Cell: 5.5364 4.3188 5.5364 Å, 90.00 90.00 90.00°
With the nearest neighbours (Å) after each atom.
Fractional coordinates of all 5 atoms:
Nb 0.0000 0.0000 0.0000  2 Co 2.16
Co 0.0000 0.5000 0.0000  2 Nb 2.16
Al 0.5000 0.5000 0.5000  8 Cd 3.51, 4 Co 3.91
Cd 0.0000 0.0000 0.5000  2 Nb 2.77
Cd 0.5000 0.0000 0.0000  2 Nb 2.77

Computed properties:
density of states at the Fermi level	5.28	states/eV/cell
energy relative to the elements	6.1	eV per formula unit

---

Ba2BiOsO after structural relaxation. Source: the Alexandria database, functional PBE.

Cell: 6.6268 4.9900 6.6268 Å, 90.00 90.00 90.00°
With the nearest neighbours (Å) after each atom.
Fractional coordinates of all 5 atoms:
Os 0.0000 0.5000 0.0000  2 Bi 2.50
Bi 0.0000 0.0000 0.0000  2 Os 2.50
O 0.5000 0.5000 0.5000  8 Ba 4.15
Ba 0.0000 0.0000 0.5000  2 Bi 3.31
Ba 0.5000 0.0000 0.0000  2 Bi 3.31

Computed properties:
calculated total energy	-20.71	eV per cell
density of states at the Fermi level	3.69	states/eV/cell

---

NbPAuF2 after structural relaxation. Source: the Alexandria database, functional PBE.

Cell: 3.9818 5.6803 3.9818 Å, 90.00 90.00 90.00°
With the nearest neighbours (Å) after each atom.
Fractional coordinates of all 5 atoms:
P 0.5000 0.5000 0.5000  4 Au 2.82
Nb 0.0000 0.0000 0.0000  4 F 1.99
Au 0.0000 0.5000 0.0000  4 P 2.82, 2 Nb 2.84
F 0.0000 0.0000 0.5000  2 Nb 1.99
F 0.5000 0.0000 0.0000  2 Nb 1.99

Computed properties:
calculated total energy	-26.89	eV per cell
density of states at the Fermi level	3.66	states/eV/cell

---

CsSbI5 after structural relaxation. Source: the Alexandria database, functional PBE.

Cell: 9.4790 9.4790 11.6829 Å, 62.07 62.07 67.87°
With the nearest neighbours (Å) after each atom.
Fractional coordinates of all 14 atoms:
Cs 0.5399 0.4601 0.2500  7 I 3.93-4.26
Cs 0.4601 0.5399 0.7500  7 I 3.93-4.26
Sb 0.0000 0.0000 0.0000  6 I 2.95-3.07
Sb 0.0000 0.0000 0.5000  6 I 2.95-3.07
I 0.8868 0.6920 0.1938  1 Sb 2.95
I 0.1780 0.6567 0.5200  1 Sb 3.00
I 0.6920 0.8868 0.6938  1 Sb 2.95
I 0.9117 0.0883 0.2500  2 Sb 3.07
I 0.3433 0.8220 0.9800  1 Sb 3.00
I 0.6567 0.1780 0.0200  1 Sb 3.00
I 0.0883 0.9117 0.7500  2 Sb 3.07
I 0.3080 0.1132 0.3062  1 Sb 2.95
I 0.8220 0.3433 0.4800  1 Sb 3.00
I 0.1132 0.3080 0.8062  1 Sb 2.95

Computed properties:
calculated total energy	-33.07	eV per cell
density of states at the Fermi level	6.91	states/eV/cell

---

SrMg3Pt2 after structural relaxation. Source: the Alexandria database, functional PBE.

Cell: 4.2955 9.1345 10.8213 Å, 105.46 90.00 103.60°
With the nearest neighbours (Å) after each atom.
Fractional coordinates of all 18 atoms:
Sr 0.1566 0.3133 0.7071  6 Pt 3.34-3.44, 8 Mg 3.49-3.74
Sr 0.8434 0.6867 0.2929  6 Pt 3.34-3.44, 8 Mg 3.49-3.74
Sr 0.0000 0.0000 0.0000  6 Pt 3.36-3.40, 6 Mg 3.47-3.52
Mg 0.0469 0.0938 0.3382  4 Pt 2.69-2.77, 1 Mg 2.92
Mg 0.9531 0.9062 0.6618  4 Pt 2.69-2.77, 1 Mg 2.92
Mg 0.2177 0.4354 0.3986  4 Pt 2.63-2.75, 1 Mg 2.92
Mg 0.7823 0.5646 0.6014  4 Pt 2.63-2.75, 1 Mg 2.92
Mg 0.6266 0.2533 0.2098  4 Pt 2.62-2.84
Mg 0.3734 0.7467 0.7902  4 Pt 2.62-2.84
Mg 0.5000 0.0000 0.5000  2 Pt 2.60
Mg 0.3235 0.6470 0.0317  4 Pt 2.78-2.81, 1 Mg 2.98
Mg 0.6765 0.3530 0.9683  4 Pt 2.78-2.81, 1 Mg 2.98
Pt 0.1966 0.3932 0.1368  6 Mg 2.71-2.79
Pt 0.8034 0.6068 0.8632  6 Mg 2.71-2.79
Pt 0.4686 0.9372 0.2200  5 Mg 2.69-2.93
Pt 0.5314 0.0628 0.7800  5 Mg 2.69-2.93
Pt 0.3633 0.7266 0.5440  7 Mg 2.60-2.77
Pt 0.6367 0.2734 0.4560  7 Mg 2.60-2.77

Computed properties:
density of states at the Fermi level	5.80	states/eV/cell
energy relative to the elements	-4.3	eV per formula unit

---

SrPmSi after structural relaxation. Source: the Alexandria database, functional PBE.

Cell: 5.1579 5.1579 5.1579 Å, 60.00 60.00 60.00°
With the nearest neighbours (Å) after each atom.
Fractional coordinates of all 3 atoms:
Sr 0.5000 0.5000 0.5000  4 Si 3.16
Si 0.2500 0.2500 0.2500  4 Sr 3.16, 4 Pm 3.16
Pm 0.0000 0.0000 0.0000  4 Si 3.16

Computed properties:
distance to the lowest polymorph of the same formula	0.079	eV/atom
density of states at the Fermi level	2.41	states/eV/cell

---

SrTe2Br after structural relaxation. Source: the Alexandria database, functional PBE.

Cell: 7.1004 7.1004 4.4709 Å, 71.64 71.64 36.38°
With the nearest neighbours (Å) after each atom.
Fractional coordinates of all 4 atoms:
Sr 0.2500 0.2500 0.2500  4 Br 3.15
Te 0.9991 0.9991 0.0009  4 Te 3.15
Te 0.5009 0.5009 0.4991  4 Te 3.15
Br 0.7500 0.7500 0.7500  4 Sr 3.15

Computed properties:
distance to the lowest polymorph of the same formula	0.084	eV/atom
density of states at the Fermi level	1.10	states/eV/cell

---

DySi2Tc2 after structural relaxation. Source: the Alexandria database, functional PBE.

Cell: 5.6984 5.6984 7.2367 Å, 100.35 100.35 122.89°
With the nearest neighbours (Å) after each atom.
Fractional coordinates of all 10 atoms:
Dy 0.8752 0.6248 0.7500  6 Si 3.09-3.33, 8 Tc 3.11-3.39
Dy 0.1248 0.3752 0.2500  6 Si 3.09-3.33, 8 Tc 3.11-3.39
Si 0.1841 0.3159 0.7500  4 Tc 2.36-2.44
Si 0.4340 0.0660 0.2500  4 Tc 2.36-2.44
Si 0.5660 0.9340 0.7500  4 Tc 2.36-2.44
Si 0.8159 0.6841 0.2500  4 Tc 2.36-2.44
Tc 0.2621 0.0122 0.5245  4 Si 2.36-2.44
Tc 0.5122 0.7621 0.0245  4 Si 2.36-2.44
Tc 0.7379 0.9878 0.4755  4 Si 2.36-2.44
Tc 0.4878 0.2379 0.9755  4 Si 2.36-2.44

Computed properties:
distance to the lowest polymorph of the same formula	0.122	eV/atom
density of states at the Fermi level	7.07	states/eV/cell

---

La2BiOsBr after structural relaxation. Source: the Alexandria database, functional PBE.

Cell: 5.6570 4.8618 5.6570 Å, 90.00 90.00 90.00°
With the nearest neighbours (Å) after each atom.
Fractional coordinates of all 5 atoms:
Os 0.0000 0.0000 0.0000  2 Br 2.43
Bi 0.5000 0.5000 0.5000  8 La 3.73, 4 Br 4.00
Br 0.0000 0.5000 0.0000  2 Os 2.43
La 0.0000 0.0000 0.5000  2 Os 2.83
La 0.5000 0.0000 0.0000  2 Os 2.83

Computed properties:
calculated total energy	-28.08	eV per cell
density of states at the Fermi level	1.46	states/eV/cell

---

Sr2ScPaSe6 after structural relaxation. Source: the Alexandria database, functional PBE.

Cell: 7.1412 7.6665 10.4213 Å, 90.00 90.88 90.00°
With the nearest neighbours (Å) after each atom.
Fractional coordinates of all 20 atoms:
Sr 0.0306 0.9127 0.2464  6 Se 3.13-3.32
Sr 0.5306 0.5873 0.7464  6 Se 3.13-3.32
Sr 0.9694 0.0873 0.7536  6 Se 3.13-3.32
Sr 0.4694 0.4127 0.2536  6 Se 3.13-3.32
Sc 0.5000 0.0000 0.5000  6 Se 2.70-2.74
Sc 0.0000 0.5000 0.0000  6 Se 2.70-2.74
Pa 0.5000 0.0000 0.0000  6 Se 2.76-2.79
Pa 0.0000 0.5000 0.5000  6 Se 2.76-2.79
Se 0.3103 0.6919 0.0561  1 Sc 2.72, 1 Pa 2.79
Se 0.8103 0.8081 0.5561  1 Sc 2.72, 1 Pa 2.79
Se 0.6897 0.3081 0.9439  1 Sc 2.72, 1 Pa 2.79
Se 0.1897 0.1919 0.4439  1 Sc 2.72, 1 Pa 2.79
Se 0.3142 0.6962 0.4449  1 Sc 2.74, 1 Pa 2.77
Se 0.8142 0.8038 0.9449  1 Sc 2.74, 1 Pa 2.77
Se 0.6858 0.3038 0.5551  1 Sc 2.74, 1 Pa 2.77
Se 0.1858 0.1962 0.0551  1 Sc 2.74, 1 Pa 2.77
Se 0.8909 0.5253 0.2458  1 Sc 2.70, 1 Pa 2.76
Se 0.3909 0.9747 0.7458  1 Sc 2.70, 1 Pa 2.76
Se 0.1091 0.4747 0.7542  1 Sc 2.70, 1 Pa 2.76
Se 0.6091 0.0253 0.2542  1 Sc 2.70, 1 Pa 2.76

Computed properties:
calculated total energy	-114.78	eV per cell
density of states at the Fermi level	0.00	states/eV/cell

---

LiTi2SnH after structural relaxation. Source: the Alexandria database, functional PBE.

Cell: 4.0256 4.0256 4.3131 Å, 90.00 90.00 90.00°
With the nearest neighbours (Å) after each atom.
Fractional coordinates of all 5 atoms:
H 0.0000 0.0000 0.0000  4 Ti 2.01, 2 Li 2.16
Li 0.0000 0.0000 0.5000  2 H 2.16
Sn 0.5000 0.5000 0.5000  4 Li 2.85, 8 Ti 2.95
Ti 0.0000 0.5000 0.0000  2 H 2.01
Ti 0.5000 0.0000 0.0000  2 H 2.01

Computed properties:
calculated total energy	-26.82	eV per cell
density of states at the Fermi level	3.53	states/eV/cell

---

Dy2Y2Ho7 after structural relaxation. Source: the Alexandria database, functional PBE.

Cell: 6.0272 7.9870 7.9870 Å, 91.05 73.72 73.72°
With the nearest neighbours (Å) after each atom.
Fractional coordinates of all 11 atoms:
Dy 0.8046 0.4109 0.4109  2 Dy 3.41-3.64, 7 Ho 3.42-3.74, 2 Y 3.67
Dy 0.1954 0.5891 0.5891  2 Dy 3.41-3.64, 7 Ho 3.42-3.74, 2 Y 3.67
Y 0.5000 0.2145 0.7855  6 Ho 3.28-3.47
Y 0.5000 0.7855 0.2145  6 Ho 3.28-3.47
Ho 0.1758 0.0611 0.5896  4 Ho 3.21-3.52, 2 Y 3.28-3.42
Ho 0.8242 0.4104 0.9389  4 Ho 3.21-3.52, 2 Y 3.28-3.42
Ho 0.8242 0.9389 0.4104  4 Ho 3.21-3.52, 2 Y 3.28-3.42
Ho 0.1758 0.5896 0.0611  4 Ho 3.21-3.52, 2 Y 3.28-3.42
Ho 0.0000 0.0000 0.0000  6 Ho 3.24-3.44
Ho 0.5825 0.7664 0.7664  5 Ho 3.32-3.52, 3 Dy 3.42-3.66, 2 Y 3.47
Ho 0.4175 0.2336 0.2336  5 Ho 3.32-3.52, 3 Dy 3.42-3.66, 2 Y 3.47

Computed properties:
density of states at the Fermi level	18.21	states/eV/cell
energy relative to the elements	1.8	eV per formula unit

---

Rb4Ce3SmSe8 after structural relaxation. Source: the Alexandria database, functional PBE.

Cell: 8.7856 9.4638 8.7826 Å, 117.62 120.01 90.00°
With the nearest neighbours (Å) after each atom.
Fractional coordinates of all 16 atoms:
Rb 0.5000 0.0000 0.0000  6 Se 3.51
Rb 0.5000 0.0000 0.5000  6 Se 3.48-3.49
Rb 0.0000 0.0000 0.0000  6 Se 3.49
Rb 0.0000 0.0000 0.5000  6 Se 3.48-3.49
Ce 0.5000 0.5000 0.0000  6 Se 3.00
Ce 0.5000 0.5000 0.5000  6 Se 3.00-3.01
Ce 0.0000 0.5000 0.5000  6 Se 3.00-3.01
Sm 0.0000 0.5000 0.0000  6 Se 2.97-2.98
Se 0.2320 0.6991 0.9676  1 Sm 2.98, 2 Ce 3.00
Se 0.2313 0.6993 0.4627  1 Sm 2.97, 2 Ce 3.01
Se 0.2669 0.3004 0.5337  3 Ce 3.00
Se 0.7357 0.6991 0.9676  1 Sm 2.98, 2 Ce 3.00
Se 0.2643 0.3009 0.0324  1 Sm 2.98, 2 Ce 3.00
Se 0.7331 0.6996 0.4663  3 Ce 3.00
Se 0.7687 0.3007 0.5373  1 Sm 2.97, 2 Ce 3.01
Se 0.7680 0.3009 0.0324  1 Sm 2.98, 2 Ce 3.00

Computed properties:
calculated total energy	-81.35	eV per cell
density of states at the Fermi level	19.73	states/eV/cell

---

Ca4P2Cl5 after structural relaxation. Source: the Alexandria database, functional PBE.

Cell: 3.9353 7.9839 11.2671 Å, 85.99 100.06 90.00°
With the nearest neighbours (Å) after each atom.
Fractional coordinates of all 11 atoms:
Ca 0.6709 0.5751 0.3418  5 Cl 2.74-2.78, 1 P 2.96
Ca 0.0155 0.7366 0.0309  3 Cl 2.76-2.88, 4 P 2.92-3.02
Ca 0.3291 0.4249 0.6582  5 Cl 2.74-2.78, 1 P 2.96
Ca 0.9845 0.2634 0.9691  3 Cl 2.76-2.88, 4 P 2.92-3.02
P 0.5473 0.4570 0.0946  1 P 2.16
P 0.4527 0.5430 0.9054  1 P 2.16
Cl 0.1361 0.7996 0.2722  3 Ca 2.74-2.76
Cl 0.8639 0.2004 0.7278  3 Ca 2.74-2.76
Cl 0.2084 0.3519 0.4168  3 Ca 2.74-2.78
Cl 0.5000 0.0000 0.0000  4 Ca 2.88
Cl 0.7916 0.6481 0.5832  3 Ca 2.74-2.78

Computed properties:
calculated total energy	-48.49	eV per cell
density of states at the Fermi level	6.07	states/eV/cell

---

Rb3Pm3OsO8 after structural relaxation. Source: the Alexandria database, functional PBE.

Cell: 7.0181 7.0186 7.7376 Å, 116.98 90.00 120.00°
With the nearest neighbours (Å) after each atom.
Fractional coordinates of all 15 atoms:
Rb 0.0000 0.0000 0.0000  6 O 2.93-2.94
Rb 0.0000 0.5000 0.0000  6 O 2.93-2.94
Rb 0.5000 0.5000 0.0000  6 O 2.93-2.94
Pm 0.5000 0.0000 0.5000  6 O 2.35-2.39
Pm 0.5000 0.5000 0.5000  6 O 2.35-2.40
Pm 0.0000 0.5000 0.5000  6 O 2.35-2.40
Os 0.0000 0.0000 0.5000  6 O 2.11-2.12
O 0.2734 0.5469 0.3203  3 Pm 2.35
O 0.7266 0.4531 0.6797  3 Pm 2.35
O 0.7957 0.5913 0.3361  1 Os 2.12
O 0.2043 0.4087 0.6639  1 Os 2.12
O 0.7958 0.0403 0.3362  1 Os 2.11
O 0.2042 0.9597 0.6638  1 Os 2.11
O 0.2445 0.0403 0.3362  1 Os 2.11
O 0.7555 0.9597 0.6638  1 Os 2.11

Computed properties:
calculated total energy	-101.01	eV per cell
density of states at the Fermi level	4.62	states/eV/cell

---

TcAs2Se after structural relaxation. Source: the Alexandria database, functional PBE.

Cell: 4.5500 4.5500 4.5513 Å, 119.63 119.63 90.29°
With the nearest neighbours (Å) after each atom.
Fractional coordinates of all 4 atoms:
As 0.0006 0.9994 0.0000  4 As 2.77-2.82, 4 Tc 2.78-2.81
As 0.2454 0.7546 0.5000  4 As 2.77-2.82, 4 Se 2.78-2.81
Tc 0.7531 0.2469 0.5000  4 As 2.78-2.81, 4 Se 2.79-2.80
Se 0.5009 0.4991 0.0000  4 As 2.78-2.81, 4 Tc 2.79-2.80

Computed properties:
distance to the lowest polymorph of the same formula	0.438	eV/atom
density of states at the Fermi level	2.05	states/eV/cell

---

K3Ce2VSe6 after structural relaxation. Source: the Alexandria database, functional PBE.

Cell: 7.2289 7.2289 8.0583 Å, 98.65 98.65 120.04°
With the nearest neighbours (Å) after each atom.
Fractional coordinates of all 12 atoms:
K 0.1698 0.8302 0.5000  6 Se 3.28-3.41
K 0.8302 0.1698 0.5000  6 Se 3.28-3.41
K 0.5000 0.5000 0.5000  6 Se 3.27-3.44
Ce 0.3337 0.6663 0.0000  6 Se 2.93
Ce 0.6663 0.3337 0.0000  6 Se 2.93
V 0.0000 0.0000 0.0000  6 Se 2.73
Se 0.9329 0.6209 0.7988  1 V 2.73, 2 Ce 2.93
Se 0.7559 0.7559 0.2018  1 V 2.73, 2 Ce 2.93
Se 0.0671 0.3791 0.2012  1 V 2.73, 2 Ce 2.93
Se 0.6209 0.9329 0.7988  1 V 2.73, 2 Ce 2.93
Se 0.2441 0.2441 0.7982  1 V 2.73, 2 Ce 2.93
Se 0.3791 0.0671 0.2012  1 V 2.73, 2 Ce 2.93

Computed properties:
calculated total energy	-62.16	eV per cell
density of states at the Fermi level	8.45	states/eV/cell